Below is Li4Mn7O2F14 after structural relaxation, with properties calculated at the PBE+U level.

Properties
Size of the total moment, μB per cell: 70.00
Total energy, eV/atom: -6.09

Lattice parameters (Å, degrees): 10.571 6.430 11.119 90.00 110.37 90.00
Space group C2/m (No. 12)
Unique sites:
Li 0.077 0.000 0.214
Li 0.085 0.500 0.703
Mn 0.000 0.000 0.500
Mn 0.223 0.500 0.238
Mn 0.250 0.250 0.000
Mn 0.250 0.250 0.500
O 0.138 0.000 0.408
F 0.112 0.500 0.364
F 0.137 0.000 0.874
F 0.137 0.236 0.639
F 0.138 0.238 0.129
F 0.139 0.500 0.887